Here is a relaxed Al3SnPb crystal from Alexandria via LeMat-Bulk. Energies are from PBE.

Computed properties:
The calculation puts the energy of formation at 729 meV per atom. For the density, the calculation gives 4.60 g cm⁻³. The uncorrected energy is -3.059 eV/atom.

Geometry as CIF:
```
data_Al3SnPb
_chemical_formula_sum 'Al3 Sn1 Pb1'
_space_group_name_H-M_alt 'P m -3 m'
_space_group_IT_number 221
_space_group_name_Hall '-P 4 2 3'
_cell_length_a 5.2768
_cell_length_b 5.2768
_cell_length_c 5.2768
_cell_angle_alpha 90.00
_cell_angle_beta 90.00
_cell_angle_gamma 90.00
loop_
_atom_site_label
_atom_site_fract_x
_atom_site_fract_y
_atom_site_fract_z
Al1 0.0000 0.0000 0.5000
Sn1 0.0000 0.0000 0.0000
Pb1 0.5000 0.5000 0.5000
```